1.
Computed, not measured: a relaxed structure of Nb2PbO6 at the PBE-GGA level of DFT.

abc: 10.6885 10.6885 11.8996
angles: 90.00 90.00 120.00
Space group R3 (No. 146, hexagonal axes)
Unique sites:
Nb  0.0047  0.6536  0.0000 x9
Nb  0.0195  0.3386  0.2945 x9
Pb  0.0000  0.0000  0.1635 x3
Pb  0.0000  0.0000  0.4633 x3
Pb  0.0000  0.0000  0.7928 x3
O  0.9998  0.2822  0.4779 x9
O  0.0259  0.5126  0.6166 x9
O  0.0523  0.6719  0.1499 x9
O  0.0935  0.1875  0.2947 x9
O  0.1808  0.3619  0.6761 x9
O  0.1949  0.0979  0.6705 x9

Computed properties:
- Crystal system: trigonal
- Magnetization: 0.00 μB/cell
- Distance to the lowest polymorph of the same formula: 9.5 meV/atom
- E: -8.243 eV per atom

2.
Computed, not measured: a relaxed structure of CeNb2Ni at the PBE-GGA level of DFT.

abc: 2.8922 2.8922 30.2569
angles: 90.00 90.00 120.00
Space group R-3m (No. 166, hexagonal axes)
Unique sites:
Ce  0.0000  0.0000  0.0000 x3
Nb  0.0000  0.0000  0.0966 x6
Ni  0.0000  0.0000  0.5000 x3

Computed properties:
- Crystal system: trigonal
- Magnetization: 0.00 μB/cell
- E: -7.604 eV per atom
- Formation enthalpy at 0 K: 0.360 eV per atom

3.
Computed, not measured: a relaxed structure of CoSiOs2 at the PBE-GGA level of DFT.

abc: 2.751 3.815 5.155
angles: 90.00 101.72 90.00
Space group P2/m (No. 10)
Unique sites:
Co  0.000  0.000  0.000 x1
Si  0.000  0.000  0.500 x1
Os  0.370  0.500  0.744 x2

Computed properties:
- Crystal system: monoclinic
- Magnetization: 1.37 μB/cell
- E: -8.690 eV per atom

4.
Computed, not measured: a relaxed structure of Pm3Er2Sc2 at the PBE-GGA level of DFT.

abc: 10.989 4.963 7.856
angles: 90.00 98.47 90.00
Space group C2/m (No. 12)
Unique sites:
Pm  0.000  0.000  0.000 x2
Pm  0.144  0.000  0.430 x4
Er  0.071  0.500  0.722 x4
Sc  0.217  0.500  0.138 x4

Computed properties:
- Crystal system: monoclinic
- Magnetization: 0.00 μB/cell
- Distance to the lowest polymorph of the same formula: 0.0 meV/atom
- E: -5.100 eV per atom
- Formation enthalpy at 0 K: 0.049 eV per atom

5.
Computed, not measured: a relaxed structure of Ba5Li4Ca at the PBE-GGA level of DFT.

abc: 4.418 4.418 23.104
angles: 90.00 90.00 90.00
Space group P4/mmm (No. 123)
Unique sites:
Ba  0.000  0.000  0.000 x1
Ba  0.000  0.000  0.191 x2
Ba  0.000  0.000  0.379 x2
Li  0.500  0.500  0.096 x2
Li  0.500  0.500  0.287 x2
Ca  0.500  0.500  0.500 x1

Computed properties:
- Crystal system: tetragonal
- Magnetization: 0.00 μB/cell
- E: -1.881 eV per atom
- Formation enthalpy at 0 K: 0.046 eV per atom

6.
Computed, not measured: a relaxed structure of La4CoRuI2 at the PBE-GGA level of DFT.

abc: 7.205 4.173 8.618
angles: 90.00 106.34 90.00
Space group P2/m (No. 10)
Unique sites:
La  0.225  0.000  0.182 x2
La  0.271  0.500  0.815 x2
Co  0.000  0.500  0.000 x1
Ru  0.500  0.000  0.000 x1
I  0.000  0.000  0.500 x1
I  0.500  0.500  0.500 x1

Computed properties:
- Crystal system: monoclinic
- Magnetization: 0.00 μB/cell
- E: -5.632 eV per atom

7.
Computed, not measured: a relaxed structure of Co4SbP at the PBE-GGA level of DFT.

abc: 6.861 6.861 6.861
angles: 90.00 90.00 90.00
Space group F-43m (No. 216)
Unique sites:
Co  0.124  0.124  0.124 x16
Sb  0.000  0.000  0.500 x4
P  0.250  0.250  0.750 x4

Computed properties:
- Crystal system: cubic
- Magnetization: 24.79 μB/cell
- E: -5.977 eV per atom

8.
Computed, not measured: a relaxed structure of FeSiSe2 at the PBE-GGA level of DFT.

abc: 3.2040 3.2040 24.1997
angles: 90.00 90.00 120.00
Space group R-3m (No. 166, hexagonal axes)
Unique sites:
Fe  0.0000  0.0000  0.0000 x3
Si  0.0000  0.0000  0.5000 x3
Se  0.0000  0.0000  0.2679 x6

Computed properties:
- Crystal system: trigonal
- Magnetization: 6.40 μB/cell
- E: -5.011 eV per atom

9.
Computed, not measured: a relaxed structure of TaOsBr at the PBE-GGA level of DFT.

abc: 3.131 3.131 12.512
angles: 90.00 90.00 90.00
Space group I4mm (No. 107)
Unique sites:
Ta  0.000  0.000  0.000 x2
Os  0.000  0.000  0.609 x2
Br  0.000  0.000  0.338 x2

Computed properties:
- Crystal system: tetragonal
- Magnetization: 0.00 μB/cell
- Distance to the lowest polymorph of the same formula: 170.3 meV/atom
- E: -7.966 eV per atom

10.
Computed, not measured: a relaxed structure of La2FeSi at the PBE-GGA level of DFT.

abc: 4.159 4.321 11.112
angles: 90.00 90.00 90.00
Space group Amm2 (No. 38)
Unique sites:
La  0.000  0.000  0.000 x2
La  0.500  0.000  0.280 x2
Fe  0.500  0.000  0.585 x2
Si  0.000  0.000  0.697 x2

Computed properties:
- Crystal system: orthorhombic
- Magnetization: 2.96 μB/cell
- E: -6.253 eV per atom

11.
Computed, not measured: a relaxed structure of TbTmSe3 at the PBE-GGA level of DFT.

abc: 8.014 4.028 8.153
angles: 90.00 95.12 90.00
Space group P2_1/m (No. 11)
Unique sites:
Tb  0.118  0.250  0.271 x2
Tm  0.355  0.750  0.822 x2
Se  0.122  0.250  0.890 x2
Se  0.183  0.750  0.521 x2
Se  0.396  0.750  0.180 x2

Computed properties:
- Crystal system: monoclinic
- Magnetization: 0.00 μB/cell
- Distance to the lowest polymorph of the same formula: 6.4 meV/atom
- E: -5.751 eV per atom

12.
Computed, not measured: a relaxed structure of Mg3SnBi at the PBE-GGA level of DFT.

abc: 5.466 5.466 5.466
angles: 90.00 90.00 90.00
Space group Pm-3m (No. 221)
Unique sites:
Mg  0.000  0.000  0.500 x3
Sn  0.500  0.500  0.500 x1
Bi  0.000  0.000  0.000 x1

Computed properties:
- Crystal system: cubic
- Magnetization: 0.00 μB/cell
- Distance to the lowest polymorph of the same formula: 520.3 meV/atom
- E: -2.136 eV per atom
- Formation enthalpy at 0 K: 0.397 eV per atom

13.
Computed, not measured: a relaxed structure of UNb2W at the PBE-GGA level of DFT.

abc: 3.336 3.336 6.617
angles: 90.00 90.00 90.00
Space group P4/mmm (No. 123)
Unique sites:
U  0.000  0.000  0.000 x1
Nb  0.500  0.500  0.257 x2
W  0.000  0.000  0.500 x1

Computed properties:
- Crystal system: tetragonal
- Magnetization: 0.28 μB/cell
- Distance to the lowest polymorph of the same formula: 56.4 meV/atom
- E: -10.873 eV per atom
- Formation enthalpy at 0 K: 0.222 eV per atom

14.
Computed, not measured: a relaxed structure of AlBiN2O at the PBE-GGA level of DFT.

abc: 4.297 4.297 4.127
angles: 90.00 90.00 90.00
Space group P4/mmm (No. 123)
Unique sites:
Al  0.000  0.000  0.000 x1
Bi  0.500  0.500  0.500 x1
N  0.000  0.500  0.500 x2
O  0.500  0.500  0.000 x1

Computed properties:
- Crystal system: tetragonal
- Magnetization: 0.00 μB/cell
- E: -4.680 eV per atom

15.
Computed, not measured: a relaxed structure of YTiNb2 at the PBE-GGA level of DFT.

abc: 7.611 7.611 5.852
angles: 90.00 90.00 90.00
Space group I-42d (No. 122)
Unique sites:
Y  0.000  0.000  0.000 x4
Ti  0.000  0.000  0.500 x4
Nb  0.225  0.750  0.625 x8

Computed properties:
- Crystal system: tetragonal
- Magnetization: 0.00 μB/cell
- Distance to the lowest polymorph of the same formula: 297.6 meV/atom
- E: -7.938 eV per atom
- Formation enthalpy at 0 K: 0.687 eV per atom

16.
Computed, not measured: a relaxed structure of PrTmGe at the PBE-GGA level of DFT.

abc: 4.195 12.799 6.160
angles: 90.00 90.00 90.00
Space group Cmcm (No. 63)
Unique sites:
Pr  0.000  0.000  0.000 x4
Tm  0.000  0.290  0.250 x4
Ge  0.000  0.361  0.750 x4

Computed properties:
- Crystal system: orthorhombic
- Magnetization: 0.00 μB/cell
- E: -5.177 eV per atom
- Formation enthalpy at 0 K: -0.554 eV per atom

17.
Computed, not measured: a relaxed structure of GaSn2Au at the PBE-GGA level of DFT.

abc: 3.2489 3.2489 31.6614
angles: 90.00 90.00 120.00
Space group R-3m (No. 166, hexagonal axes)
Unique sites:
Ga  0.0000  0.0000  0.0000 x3
Sn  0.0000  0.0000  0.0937 x6
Au  0.0000  0.0000  0.5000 x3

Computed properties:
- Crystal system: trigonal
- Magnetization: 0.00 μB/cell
- E: -3.508 eV per atom
- Formation enthalpy at 0 K: 0.069 eV per atom

18.
Computed, not measured: a relaxed structure of PaPb2AuSe5 at the PBE-GGA level of DFT.

abc: 4.212 18.336 13.464
angles: 90.00 90.00 90.00
Space group Cmc2_1 (No. 36)
Unique sites:
Pa  0.000  0.211  0.000 x4
Pb  0.000  0.098  0.265 x4
Pb  0.000  0.104  0.620 x4
Au  0.000  0.419  0.421 x4
Se  0.000  0.062  0.038 x4
Se  0.000  0.272  0.640 x4
Se  0.000  0.282  0.363 x4
Se  0.000  0.363  0.973 x4
Se  0.000  0.490  0.255 x4

Computed properties:
- Crystal system: orthorhombic
- Magnetization: 0.00 μB/cell
- E: -4.933 eV per atom

19.
Computed, not measured: a relaxed structure of CuRe2Au at the PBE-GGA level of DFT.

abc: 3.935 3.935 7.681
angles: 90.00 90.00 90.00
Space group I-4m2 (No. 119)
Unique sites:
Cu  0.000  0.000  0.000 x2
Re  0.000  0.000  0.500 x2
Re  0.000  0.500  0.750 x2
Au  0.000  0.500  0.250 x2

Computed properties:
- Crystal system: tetragonal
- Magnetization: 0.00 μB/cell
- Distance to the lowest polymorph of the same formula: 233.1 meV/atom
- E: -7.658 eV per atom
- Formation enthalpy at 0 K: 0.409 eV per atom

20.
Computed, not measured: a relaxed structure of Re2IF at the PBE-GGA level of DFT.

abc: 6.252 6.252 6.252
angles: 90.00 90.00 90.00
Space group Fm-3m (No. 225)
Unique sites:
Re  0.250  0.250  0.250 x8
I  0.000  0.000  0.000 x4
F  0.000  0.000  0.500 x4

Computed properties:
- Crystal system: cubic
- Magnetization: 0.00 μB/cell
- Distance to the lowest polymorph of the same formula: 512.1 meV/atom
- E: -5.892 eV per atom

21.
Computed, not measured: a relaxed structure of ErPd6Pt at the PBE-GGA level of DFT.

abc: 5.652 5.652 4.100
angles: 90.00 90.00 90.00
Space group P4/mmm (No. 123)
Unique sites:
Er  0.000  0.000  0.000 x1
Pd  0.000  0.500  0.000 x2
Pd  0.255  0.255  0.500 x4
Pt  0.500  0.500  0.000 x1

Computed properties:
- Crystal system: tetragonal
- Magnetization: 0.00 μB/cell
- Distance to the lowest polymorph of the same formula: 0.0 meV/atom
- E: -5.656 eV per atom
- Formation enthalpy at 0 K: -0.436 eV per atom

22.
Computed, not measured: a relaxed structure of Rb2ScBi2O6 at the PBE-GGA level of DFT.

abc: 6.016 10.295 6.987
angles: 90.00 106.26 90.00
Space group C2/m (No. 12)
Unique sites:
Rb  0.000  0.167  0.000 x4
Sc  0.000  0.000  0.500 x2
Bi  0.000  0.335  0.500 x4
O  0.209  0.159  0.670 x8
O  0.245  0.000  0.328 x4

Computed properties:
- Crystal system: monoclinic
- Magnetization: 0.00 μB/cell
- E: -5.883 eV per atom

23.
Computed, not measured: a relaxed structure of AlSe2O6 at the PBE-GGA level of DFT.

abc: 4.8964 4.8964 19.2662
angles: 90.00 90.00 120.00
Space group R3 (No. 146, hexagonal axes)
Unique sites:
Al  0.0000  0.0000  0.0000 x3
Se  0.0000  0.0000  0.2402 x3
Se  0.0000  0.0000  0.4266 x3
O  0.0038  0.3639  0.7260 x9
O  0.0035  0.6405  0.6074 x9

Computed properties:
- Crystal system: trigonal
- Magnetization: 3.05 μB/cell
- E: -5.669 eV per atom

24.
Computed, not measured: a relaxed structure of Sm7Cd2Co2 at the PBE-GGA level of DFT.

abc: 3.686 15.551 10.623
angles: 90.00 90.00 90.00
Space group Imm2 (No. 44)
Unique sites:
Sm  0.000  0.000  0.000 x2
Sm  0.000  0.174  0.507 x4
Sm  0.000  0.344  0.310 x4
Sm  0.000  0.354  0.702 x4
Cd  0.000  0.000  0.687 x2
Cd  0.000  0.500  0.943 x2
Co  0.000  0.189  0.013 x4

Computed properties:
- Crystal system: orthorhombic
- Magnetization: 0.00 μB/cell
- E: -4.552 eV per atom
- Formation enthalpy at 0 K: -0.090 eV per atom

25.
Computed, not measured: a relaxed structure of Sm2YZn6 at the PBE-GGA level of DFT.

abc: 7.8223 7.8223 3.5689
angles: 90.00 90.00 120.00
Space group P6/mmm (No. 191)
Unique sites:
Sm  0.3333  0.6667  0.0000 x2
Y  0.0000  0.0000  0.0000 x1
Zn  0.0000  0.3313  0.5000 x6

Computed properties:
- Crystal system: hexagonal
- Magnetization: 0.00 μB/cell
- E: -2.989 eV per atom
- Formation enthalpy at 0 K: -0.373 eV per atom